Record 1
Material: MnAlW
Method: DFT, PBE-GGA
State: optimized geometry

calculated density: 10.7 Mg/m³
energy: -26.3 eV per formula unit
symmetry: I4mm, No. 107
energy of formation: -0.138 eV per atom

Cell and atoms, written as POSCAR:
```
MnAlW
1.0
-3.2694 2.7837 2.6921
-0.4161 0.6933 5.0031
3.1518 -0.0847 -3.9679
Mn Al W
1 1 1
direct
0.3283 0.3283 0.0000 Mn
0.9905 0.9905 0.0000 Al
0.6811 0.6811 0.0000 W
```



Record 2
Material: MnAlW
Method: DFT, PBE-GGA
State: optimized geometry

calculated density: 10.5 Mg/m³
energy: -26.1 eV per formula unit
symmetry: P3m1, No. 156
energy of formation: -0.072 eV per atom

Cell and atoms, written as POSCAR:
```
MnAlW
1.0
4.2223 0.0000 0.0000
-2.1111 3.6566 0.0000
0.0000 0.0000 2.7120
Mn Al W
1 1 1
direct
0.6667 0.3333 0.3468 Mn
0.0000 0.0000 0.0476 Al
0.3333 0.6667 0.6056 W
```



Record 3
Material: Mn2Al2W
Method: DFT, PBE-GGA
State: optimized geometry

calculated density: 8.3 Mg/m³
energy: -38.7 eV per formula unit
symmetry: P4/mbm, No. 127
energy of formation: 0.023 eV per atom

Cell and atoms, written as POSCAR:
```
Mn2Al2W
1.0
-2.3359 -0.7546 6.6199
1.6536 -6.8611 -0.1986
2.5385 0.5839 0.9623
Mn Al W
4 4 2
direct
0.1669 0.6669 0.5000 Mn
0.6669 0.8331 0.5000 Mn
0.8331 0.3331 0.5000 Mn
0.3331 0.1669 0.5000 Mn
0.3692 0.8692 0.0000 Al
0.8692 0.6308 0.0000 Al
0.6308 0.1308 0.0000 Al
0.1308 0.3692 0.0000 Al
0.0000 0.0000 0.0000 W
0.5000 0.5000 0.0000 W
```